Compound: Sr2Tl2HgPd5
Source: Alexandria
Functional: PBE-GGA
Structure: optimized geometry

Properties
* electronic total energy: -3.778 eV/atom
* space-group type: No. 127
* crystal system: tetragonal
* Fermi-level density of states: 4.0 states/eV/f.u.
* formation energy from the elements: -0.342 eV/atom

abc: 3.886 10.667 10.667
angles: 90.00 90.00 90.00
Sites, in units of the cell vectors:
Pd (0.500, 0.692, 0.443)
Pd (0.500, 0.557, 0.692)
Pd (0.500, 0.057, 0.808)
Pd (0.500, 0.500, 0.000)
Pd (0.500, 0.943, 0.192)
Pd (0.500, 0.443, 0.308)
Pd (0.500, 0.000, 0.500)
Pd (0.500, 0.308, 0.557)
Pd (0.500, 0.808, 0.943)
Pd (0.500, 0.192, 0.057)
Sr (0.000, 0.327, 0.827)
Sr (0.000, 0.673, 0.173)
Sr (0.000, 0.827, 0.673)
Sr (0.000, 0.173, 0.327)
Hg (0.000, 0.500, 0.500)
Hg (0.000, 0.000, 0.000)
Tl (0.000, 0.873, 0.373)
Tl (0.000, 0.627, 0.873)
Tl (0.000, 0.373, 0.127)
Tl (0.000, 0.127, 0.627)